## NiI2O10 (PBE with a Hubbard U)

Data for crystalline NiI2O10 at its relaxed geometry.

Geometry as POSCAR:
```
NiI2O10
1.0
-6.233 0.833 2.176
2.059 -0.864 6.231
1.549 8.066 1.349
O Ni I
20 2 4
Cartesian
-2.157 3.655 8.187
-0.468 4.380 1.568
-5.195 2.093 3.008
0.214 7.472 6.485
1.430 -0.130 4.635
-2.839 0.563 3.270
-0.304 2.190 6.806
-0.613 4.279 6.293
1.672 3.141 5.031
-4.055 8.165 5.120
0.144 1.904 2.902
-2.769 6.131 6.853
-2.320 5.845 2.949
-2.012 3.756 3.463
2.570 5.942 6.747
-2.398 1.945 5.779
-4.297 4.894 4.724
-1.550 0.388 1.001
-1.075 7.647 8.754
-0.227 6.090 3.976
0.000 0.000 0.000
-2.342 4.449 1.762
0.219 3.728 3.224
0.341 7.848 4.126
-2.966 0.187 5.629
-2.844 4.307 6.531
```

## Properties
* size of the total moment: 0.46 μB/atom
* V: 14.0 Å³ per atom
* space-group type: No. 14
* E: -50.777 eV per formula unit